A plane-wave DFT calculation with GGA-PBE was carried out for Dy2Cu3Ge4Au after structural relaxation.

```
Dy2Cu3Ge4Au
1.0
4.192 0.000 0.000
0.000 4.192 0.000
0.000 0.000 10.199
Ge Cu Dy Au
4 3 2 1
Cartesian
0.000 0.000 0.000
0.000 2.096 3.636
2.096 0.000 6.563
2.096 2.096 0.000
0.000 0.000 5.099
2.096 0.000 8.897
0.000 2.096 1.302
2.096 0.000 2.507
0.000 2.096 7.692
2.096 2.096 5.099
```

Calculated values
**Energy relative to the elements**: -464.5 meV/atom
**Energy**: -4.788 eV/atom